Material: Al2TlRh
Method: DFT, PBE
State: optimized geometry

Results
E above lowest polymorph	358	meV per atom
VASP energy	-4.30	eV/atom

abc: 5.070 5.070 5.070
angles: 132.91 132.91 68.80
Fractional positions:
Al 0.000 0.000 0.000
Al 0.750 0.250 0.500
Tl 0.500 0.500 0.000
Rh 0.250 0.750 0.500

Material: Al2TlRh
Method: DFT, PBE
State: optimized geometry

Results
E above lowest polymorph	117	meV per atom
VASP energy	-4.54	eV/atom

abc: 8.917 8.917 8.917
angles: 20.37 20.37 20.37
Fractional positions:
Al 0.233 0.233 0.233
Al 0.767 0.767 0.767
Tl 0.000 0.000 0.000
Rh 0.500 0.500 0.500

Material: AlTl2Rh
Method: DFT, PBE
State: optimized geometry

Results
E above lowest polymorph	173	meV per atom
VASP energy	-3.95	eV/atom

abc: 6.875 6.875 6.875
angles: 154.35 140.19 47.96
Fractional positions:
Al 0.000 0.000 0.000
Tl 0.318 0.818 0.500
Tl 0.619 0.619 0.000
Rh 0.844 0.344 0.500

Material: AlTl2Rh
Method: DFT, PBE
State: optimized geometry

Results
E above lowest polymorph	422	meV per atom
VASP energy	-3.70	eV/atom

abc: 3.730 3.753 5.809
angles: 90.00 90.00 90.00
Fractional positions:
Al 0.000 0.000 0.000
Tl 0.500 0.500 0.258
Tl 0.500 0.500 0.742
Rh 0.000 0.000 0.500

Material: AlTl4Rh
Method: DFT, PBE
State: optimized geometry

Results
VASP energy	-2.74	eV/atom

abc: 6.111 6.111 6.111
angles: 60.00 60.00 60.00
Fractional positions:
Al 0.000 0.000 0.000
Tl 0.375 0.375 0.375
Tl 0.375 0.375 0.874
Tl 0.375 0.874 0.375
Tl 0.874 0.375 0.375
Rh 0.750 0.750 0.750

Material: AlTlZn2Rh
Method: DFT, PBE
State: optimized geometry

Results
VASP energy	-2.80	eV/atom

abc: 4.821 4.821 4.628
angles: 90.00 90.00 90.00
Fractional positions:
Al 0.000 0.000 0.000
Tl 0.500 0.500 0.500
Zn 0.000 0.500 0.000
Zn 0.500 0.000 0.000
Rh 0.000 0.000 0.500

Material: Tm6AlRh2
Method: DFT, PBE
State: optimized geometry

Results
VASP energy	-5.63	eV/atom

abc: 8.310 8.310 8.310
angles: 112.76 111.71 104.07
Fractional positions:
Tm 0.043 0.240 0.804
Tm 0.181 0.286 0.466
Tm 0.181 0.714 0.895
Tm 0.330 0.025 0.695
Tm 0.330 0.635 0.305
Tm 0.436 0.240 0.196
Tm 0.564 0.760 0.804
Tm 0.670 0.365 0.695
Tm 0.670 0.975 0.305
Tm 0.819 0.286 0.105
Tm 0.819 0.714 0.534
Tm 0.957 0.760 0.196
Al 0.000 0.000 0.000
Al 0.500 0.500 0.000
Rh 0.134 0.634 0.500
Rh 0.327 0.000 0.327
Rh 0.673 0.000 0.673
Rh 0.866 0.366 0.500

Material: Tm2AlRh
Method: DFT, PBE
State: optimized geometry

Results
E above lowest polymorph	77	meV per atom
VASP energy	-5.62	eV/atom

abc: 4.923 4.923 4.923
angles: 60.00 60.00 60.00
Fractional positions:
Tm 0.250 0.250 0.250
Tm 0.750 0.750 0.750
Al 0.000 0.000 0.000
Rh 0.500 0.500 0.500

Material: TmAl2Rh
Method: DFT, PBE
State: optimized geometry

Results
VASP energy	-5.17	eV/atom

abc: 8.776 8.776 8.776
angles: 21.10 21.10 21.10
Fractional positions:
Tm 0.000 0.000 0.000
Al 0.234 0.234 0.234
Al 0.766 0.766 0.766
Rh 0.500 0.500 0.500

Material: Tm4Al16Rh3
Method: DFT, PBE
State: optimized geometry

Results
VASP energy	-4.96	eV/atom

abc: 6.100 6.100 11.184
angles: 90.00 90.00 90.00
Fractional positions:
Tm 0.000 0.500 0.190
Tm 0.000 0.500 0.810
Tm 0.500 0.000 0.190
Tm 0.500 0.000 0.810
Al 0.000 0.000 0.195
Al 0.000 0.000 0.805
Al 0.217 0.217 0.000
Al 0.217 0.783 0.000
Al 0.251 0.251 0.380
Al 0.251 0.251 0.620
Al 0.251 0.749 0.380
Al 0.251 0.749 0.620
Al 0.500 0.500 0.220
Al 0.500 0.500 0.780
Al 0.749 0.251 0.380
Al 0.749 0.251 0.620
Al 0.749 0.749 0.380
Al 0.749 0.749 0.620
Al 0.783 0.217 0.000
Al 0.783 0.783 0.000
Rh 0.000 0.500 0.500
Rh 0.500 0.000 0.500
Rh 0.500 0.500 0.000

Material: Tm2AlRh3
Method: DFT, PBE
State: optimized geometry

Results
E above lowest polymorph	0	meV per atom
VASP energy	-6.75	eV/atom

abc: 5.062 5.062 5.062
angles: 67.22 67.22 67.22
Fractional positions:
Tm 0.131 0.131 0.131
Tm 0.869 0.869 0.869
Al 0.500 0.500 0.500
Rh 0.000 0.500 0.500
Rh 0.500 0.000 0.500
Rh 0.500 0.500 0.000

Material: TmAl4Rh
Method: DFT, PBE
State: optimized geometry

Results
VASP energy	-4.86	eV/atom

abc: 7.221 7.221 7.221
angles: 126.40 126.40 79.22
Fractional positions:
Tm 0.000 0.000 0.000
Tm 0.500 0.500 0.000
Al 0.013 0.513 0.202
Al 0.189 0.987 0.500
Al 0.311 0.811 0.798
Al 0.487 0.689 0.500
Al 0.513 0.311 0.500
Al 0.689 0.189 0.202
Al 0.811 0.013 0.500
Al 0.987 0.487 0.798
Rh 0.250 0.250 0.000
Rh 0.750 0.750 0.000